La2AlHgPd6 | PBE | optimized geometry

```
data_La2AlHgPd6
_symmetry_space_group_name_H-M 'P -1'
_symmetry_Int_Tables_number 2
_cell_length_a 5.597
_cell_length_b 6.490
_cell_length_c 6.836
_cell_angle_alpha 74.19
_cell_angle_beta 65.95
_cell_angle_gamma 64.71
loop_
_symmetry_equiv_pos_as_xyz
'x,y,z'
'-x,-y,-z'
loop_
_atom_site_label
_atom_site_fract_x
_atom_site_fract_y
_atom_site_fract_z
La1 0.001 0.251 0.245
Al1 0.500 0.000 0.500
Hg1 0.500 0.500 0.000
Pd1 0.021 0.183 0.782
Pd2 0.316 0.430 0.438
Pd3 0.483 0.819 0.218
```

VASP energy: -51.637 eV/f.u.
N(E_F): 5.0 states/eV/f.u.
V: 203.6 Å³/cell